(1)
VASP calculation (GGA-PBE) on a relaxed Cs6Cl2O crystal.

```
18
Lattice="-6.4179 2.9271 -1.0314 -1.7394 -12.7837 -4.4128 1.1572 -0.0907 13.5858" Properties=species:S:1:pos:R:3 pbc="T T T"
Cs -4.3913 -7.2219 3.7651
Cs -6.2478 -3.1459 1.1893
Cs -2.6089 -2.7254 4.3765
Cs -0.7524 -6.8014 6.9523
Cs -1.4484 -10.6856 0.9806
Cs -3.7772 -7.0108 -1.2362
Cs -5.5517 0.7383 7.1611
Cs -3.2230 -2.9365 9.3778
Cs -5.5340 -7.5557 9.2043
Cs -4.0444 1.8361 2.3412
Cs -1.4662 -2.3916 -1.0626
Cs -2.9558 -11.7834 5.8004
Cl -3.8837 -5.1689 6.4857
Cl -5.8573 -1.2635 4.0491
Cl -3.1165 -4.7784 1.6559
Cl -1.1429 -8.6838 4.0925
O -0.9734 -1.6642 10.0590
O -6.0268 -8.2831 -1.9174
```

Properties
Volume, Å³/f.u.: 578.01
VASP energy, eV per atom: -2.70

(2)
VASP calculation (GGA-PBE) on a relaxed Cs4ClO4 crystal.

```
9
Lattice="-5.1085 5.1085 2.8591 5.1085 -5.1085 2.8591 5.1085 5.1085 -2.8591" Properties=species:S:1:pos:R:3 pbc="T T T"
Cs 2.3809 6.1063 0.0000
Cs 2.7276 -0.9978 2.8591
Cs 4.1108 2.3809 0.0000
Cs 0.9978 2.7276 2.8591
Cl 0.0000 0.0000 0.0000
O 5.7668 0.2720 0.0000
O 0.2720 4.4503 0.0000
O -0.6582 4.8365 2.8591
O 4.8365 0.6582 2.8591
```

Properties
Volume, Å³/f.u.: 298.46
VASP energy, eV per atom: -3.73

(3)
VASP calculation (GGA-PBE) on a relaxed Cs4ClO2 crystal.

```
7
Lattice="-1.5523 -3.8038 -2.0510 10.3574 -4.1119 4.9270 -6.8296 1.4579 2.4655" Properties=species:S:1:pos:R:3 pbc="T T T"
Cs 1.2942 -3.0387 4.6561
Cs -1.8070 -0.8603 2.9637
Cs 0.6813 -3.4190 0.6854
Cs 3.7826 -5.5974 2.3778
Cl 0.0000 0.0000 0.0000
O 3.1420 -2.6650 2.5647
O -1.1665 -3.7927 2.7768
```

Properties
Volume, Å³/f.u.: 278.64
VASP energy, eV per atom: -3.36

(4)
VASP calculation (GGA-PBE) on a relaxed Cs4ClO12 crystal.

```
17
Lattice="-7.9368 -0.0388 -1.4052 2.5542 -7.5512 1.1936 1.5463 4.4273 6.5557" Properties=species:S:1:pos:R:3 pbc="T T T"
Cs 1.2771 -3.7756 0.5968
Cs 0.7731 2.2136 3.2779
Cs -3.9684 -0.0194 -0.7026
Cs -1.9182 -1.5814 3.1721
Cl 0.0000 0.0000 0.0000
O -4.2351 1.6530 2.9073
O -5.4589 -1.8732 1.3617
O -1.8636 -3.6185 0.7707
O 1.0564 -0.8582 3.9125
O -1.9727 0.4557 5.5735
O 1.6226 -1.2895 4.9825
O -2.6068 -4.6665 0.7415
O -1.2295 1.5037 5.6027
O -4.8927 -2.3046 2.4317
O -3.3528 1.0471 2.1962
O -0.4836 -4.2098 4.1480
O 0.3988 -4.8158 3.4368
```

Properties
Volume, Å³/f.u.: 403.13
VASP energy, eV per atom: -4.54

(5)
VASP calculation (GGA-PBE) on a relaxed Cs12Cl5O3 crystal.

```
80
Lattice="17.4543 0.0000 0.0000 -5.8181 16.4561 0.0000 -5.8181 -8.2281 14.2514" Properties=species:S:1:pos:R:3 pbc="T T T"
O 10.1817 5.1425 1.7814
O 10.1817 11.3136 1.7814
O -1.4545 7.1996 8.9071
O 1.4545 -1.0285 5.3443
O 13.0908 0.0000 3.5629
O 1.4545 8.2281 3.5629
O 4.3636 0.0000 10.6886
O -7.2726 8.2281 10.6886
O 4.3636 9.2566 8.9071
O 7.2726 1.0285 5.3443
O -4.3636 -3.0855 12.4700
O -4.3636 3.0855 12.4700
Cl -1.4545 4.1140 3.5629
Cl -2.9091 8.2281 0.0000
Cl 0.0000 0.0000 0.0000
Cl 4.3636 3.0855 1.7814
Cl 5.8181 -4.1140 7.1257
Cl 5.8181 8.2281 0.0000
Cl -4.3636 9.2566 5.3443
Cl 7.2726 -5.1425 12.4700
Cl 7.2726 7.1996 5.3443
Cl 1.4545 -4.1140 10.6886
Cl 4.3636 12.3421 3.5629
Cl 2.9091 4.1140 7.1257
Cl 8.7272 0.0000 0.0000
Cl -2.9091 -4.1140 7.1257
Cl -1.4545 1.0285 8.9071
Cl -1.4545 13.3706 1.7814
Cl -5.8181 4.1140 7.1257
Cl 10.1817 -1.0285 8.9071
Cl 1.4545 5.1425 12.4700
Cl 7.2726 4.1140 10.6886
Cs 4.0086 -4.9462 14.0936
Cs 1.8095 5.6183 4.2046
Cs -3.7757 1.9430 5.3594
Cs 6.6847 0.4442 2.7633
Cs 0.1814 5.0427 9.0498
Cs -4.6939 10.4901 1.9241
Cs -2.0424 9.7269 8.1227
Cs 2.0424 -0.4442 2.7633
Cs 8.5458 -5.0427 9.0498
Cs 7.6029 5.9660 1.9241
Cs 10.5366 5.8916 4.3624
Cs 4.7185 4.9462 14.0936
Cs -3.0905 6.2447 6.9679
Cs -1.7848 -2.7974 13.2544
Cs 9.8268 10.5645 4.3624
Cs 4.7185 -2.6097 10.0468
Cs 14.7267 1.2020 1.7663
Cs 4.0333 8.7633 2.9211
Cs 12.5028 -1.9430 5.3594
Cs -1.1243 7.6928 2.9211
Cs 0.1814 -7.0261 12.4851
Cs 4.9515 6.7292 8.1227
Cs 5.9995 10.2114 6.9679
Cs 12.7605 5.4307 0.9970
Cs 0.8666 1.4988 6.1287
Cs -0.1814 -1.9834 7.2835
Cs -6.9424 2.7974 13.2544
Cs -6.6847 10.1711 8.8920
Cs 5.6367 15.2541 1.7663
Cs 6.9424 0.5353 11.3303
Cs 1.7848 -0.5353 11.3303
Cs 1.0996 10.8378 4.2046
Cs -8.9086 7.0261 12.4851
Cs -4.0086 -2.3365 9.8890
Cs 8.9086 1.9834 7.2835
Cs 1.0996 3.2819 0.1578
Cs 7.6029 11.0254 0.9970
Cs -2.7276 13.2708 5.2016
Cs -1.7848 2.2621 12.3273
Cs -4.7185 2.3364 9.8890
Cs 3.7757 8.6722 11.4881
Cs 7.8606 -1.4988 6.1287
Cs -0.8666 7.7839 11.4881
Cs 10.5120 -2.2621 12.3273
Cs 5.6367 3.1853 5.2016
Cs 9.5938 6.2850 8.8920
Cs 4.0087 2.6097 10.0468
Cs 1.8095 13.1742 0.1578
```

Properties
Volume, Å³/f.u.: 1023.36
Energy above the lowest structure with this stoichiometry, eV per atom: 0.074

(6)
VASP calculation (GGA-PBE) on a relaxed Cs12Cl3O5 crystal.

```
80
Lattice="-1.3227 -2.1921 15.8963 15.1245 -3.0567 -4.5993 -3.7451 15.2287 -3.6478" Properties=species:S:1:pos:R:3 pbc="T T T"
Cl 4.2115 -0.8867 9.7415
Cl 9.7179 -2.3070 10.0038
Cl 8.5066 6.4034 0.2318
Cl 0.1555 4.7807 2.0312
Cl -0.2031 1.5070 12.4224
Cl 8.0205 1.0747 2.1746
Cl 2.0361 8.9052 5.4746
Cl 10.2597 8.4729 -4.7732
Cl 9.9012 5.1993 5.6180
Cl 1.5500 3.5766 7.4174
Cl 0.3388 12.2869 -2.3546
Cl 5.8451 10.8667 -2.0923
O 4.5701 2.3869 -0.6496
O 7.5622 -1.5283 -2.2996
O 0.0000 0.0000 0.0000
O 2.8170 0.3174 4.3553
O -2.5339 6.5183 6.1242
O 6.9009 -2.6244 5.6485
O 9.7736 3.1442 -2.8303
O -2.3784 11.2990 8.1555
O 7.0564 2.1563 7.6797
O -1.4143 10.2174 2.6503
O 11.4710 -0.2375 4.9989
O 5.0283 4.9900 3.8246
O -0.6613 -1.0960 7.9481
O -1.8726 7.6144 -1.8239
O 3.0003 7.8237 -0.0305
O 12.4351 -1.3190 -0.5063
O 5.6897 6.0860 -4.1235
O 0.2831 6.8357 10.4795
O 7.2397 9.6626 3.2939
O 5.4866 7.5930 8.2988
Cs 0.7821 -1.5681 10.5430
Cs 5.9614 3.8473 1.2049
Cs 3.3611 1.2195 12.7080
Cs 1.9295 0.0426 6.9330
Cs 7.3048 6.9372 3.5692
Cs 7.0536 -1.2170 12.1442
Cs 10.0800 3.1977 -0.1081
Cs 13.2822 -1.2057 -3.1096
Cs 11.4541 6.0676 2.5032
Cs 7.2268 -0.5746 7.8237
Cs 4.7468 2.5991 9.0860
Cs 12.4970 -4.2229 8.7901
Cs 8.5146 5.5413 -3.2502
Cs 5.2818 -0.7899 3.9013
Cs 12.1235 2.8629 -4.2110
Cs -0.9910 7.8114 3.8911
Cs 1.8620 2.3489 -0.2345
Cs 9.2999 -1.6568 4.1161
Cs 11.6565 -0.0669 7.7272
Cs 5.7731 -0.0601 -0.3806
Cs 11.3013 8.3180 -1.3441
Cs 7.0088 3.1366 5.1216
Cs 9.2430 3.4641 8.6877
Cs 0.3452 11.2254 7.8655
Cs 3.0479 6.8434 2.5277
Cs 0.8137 6.5159 -1.0385
Cs 9.7115 -1.2454 -0.2163
Cs -1.5998 10.0468 -0.0780
Cs -1.2447 1.6620 8.9933
Cs 4.2835 10.0400 8.0298
Cs 0.7568 11.6368 3.5331
Cs 11.0477 2.1685 3.7581
Cs 8.1947 7.6310 7.8838
Cs -2.0669 7.1171 11.8602
Cs 1.5421 4.4386 10.8994
Cs -2.4403 14.2029 -1.1409
Cs 4.7749 10.7699 3.7479
Cs -1.3974 3.9124 5.1461
Cs 2.8298 10.5546 -0.1745
Cs 5.3098 7.3808 -1.4368
Cs -3.2255 11.1857 10.7588
Cs -0.0233 6.7823 7.7573
Cs 8.1272 9.9373 0.7162
Cs 3.0031 11.1970 -4.4950
Cs 2.7518 3.0427 4.0800
Cs 6.6956 8.7605 -5.0588
Cs 4.0953 6.1327 6.4443
Cs 9.2745 11.5480 -2.8937
```

Properties
Volume, Å³/f.u.: 803.32
VASP energy, eV per atom: -3.27

(7)
VASP calculation (GGA-PBE) on a relaxed Cs2ClO2 crystal.

```
10
Lattice="8.2539 0.0000 0.0000 0.0000 8.2539 0.0000 0.0000 0.0000 4.1578" Properties=species:S:1:pos:R:3 pbc="T T T"
Cs 1.6834 5.8104 2.0789
Cs 5.8104 6.5704 2.0789
Cs 6.5704 2.4435 2.0789
Cs 2.4435 1.6834 2.0789
O 3.6461 7.7730 0.0000
O 7.7730 4.6078 0.0000
O 4.6078 0.4808 0.0000
O 0.4808 3.6461 0.0000
Cl 0.0000 0.0000 0.0000
Cl 4.1269 4.1269 0.0000
```

Properties
Volume, Å³/f.u.: 141.63
Energy above the lowest structure with this stoichiometry, eV per atom: 0.000

(8)
VASP calculation (GGA-PBE) on a relaxed Cs7Cl3O2 crystal.

```
12
Lattice="5.7379 0.0000 -1.0783 -0.2027 5.7343 -1.0783 -0.1335 -0.1383 15.0945" Properties=species:S:1:pos:R:3 pbc="T T T"
Cs 0.0000 0.0000 0.0000
Cs 4.9911 2.1985 10.7530
Cs 2.0208 5.0657 10.7530
Cs 0.4106 3.3975 2.1848
Cs 3.3809 0.5303 2.1848
Cs 1.0353 1.0725 5.5087
Cs 4.3664 4.5235 7.4291
Cl 1.7035 1.7647 9.0642
Cl 3.6983 3.8313 3.8736
Cl 2.7676 2.8672 -1.0783
O 0.5441 0.5637 2.8954
O 4.8576 5.0323 10.0424
```

Properties
Volume, Å³/f.u.: 494.94
VASP energy, eV per atom: -3.21

(9)
VASP calculation (GGA-PBE) on a relaxed Cs12Cl5O3 crystal.

```
20
Lattice="4.6901 0.0000 0.0000 0.0000 12.3806 -7.1479 0.0000 0.0000 14.2959" Properties=species:S:1:pos:R:3 pbc="T T T"
Cs 0.0000 10.0603 -5.8083
Cs 0.0000 2.3203 1.3396
Cs 0.0000 0.0000 11.6166
Cs 0.0000 6.6738 -3.8531
Cs 0.0000 5.7067 3.2948
Cs 0.0000 0.0000 7.7063
Cs 2.3450 2.6068 4.7479
Cs 2.3450 2.8084 9.6643
Cs 2.3450 9.7738 -2.4000
Cs 2.3450 6.9654 7.0315
Cs 2.3450 9.5722 2.5164
Cs 2.3450 5.4152 -0.1164
Cl 0.0000 4.1269 7.1479
Cl 0.0000 8.2537 0.0000
Cl 0.0000 3.6129 -2.0859
Cl 0.0000 8.7677 5.0620
Cl 0.0000 0.0000 4.1718
O 2.3450 8.2155 -4.7432
O 2.3450 4.1651 2.4047
O 2.3450 0.0000 9.4865
```

Properties
Volume, Å³/f.u.: 830.11
Energy above the lowest structure with this stoichiometry, eV per atom: 0.000

(10)
VASP calculation (GGA-PBE) on a relaxed Cs2ClO2 crystal.

```
10
Lattice="-5.7782 6.7176 -1.3839 -6.6415 -5.9319 -1.0640 -0.8782 0.1740 4.5115" Properties=species:S:1:pos:R:3 pbc="T T T"
Cs -7.4769 -2.7030 -1.3512
Cs -9.2417 1.6599 -1.8630
Cs -4.9428 3.4887 -1.0967
Cs -3.1780 -0.8742 -0.5849
O -4.4263 -2.8368 1.5924
O -9.9234 -1.8073 0.4826
O -8.8716 3.7965 0.4712
O -3.3745 2.7670 1.5809
Cl 0.0000 0.0000 0.0000
Cl -6.2098 0.3928 -1.2240
```

Properties
Volume, Å³/f.u.: 184.96
Energy above the lowest structure with this stoichiometry, eV per atom: 0.051

(11)
VASP calculation (GGA-PBE) on a relaxed Cs4Cl3O2 crystal.

```
18
Lattice="-9.0515 -2.4454 -0.2061 2.3709 -8.7056 -0.8345 -0.2251 3.8229 8.6744" Properties=species:S:1:pos:R:3 pbc="T T T"
Cs -2.7584 -4.0186 7.1774
Cs 1.6753 -6.8486 0.1029
Cs -4.1473 -3.3095 0.4563
Cs -8.5810 -0.4795 7.5308
Cs -5.9787 -6.3153 3.1345
Cs -5.6181 -1.6280 4.4545
Cs -0.9269 -1.0128 4.4993
Cs -1.2875 -5.7001 3.1793
Cl 0.5553 -4.1189 5.7083
Cl -3.4343 -0.1539 2.2042
Cl -7.4609 -3.2092 1.9255
Cl -3.4713 -7.1742 5.4296
Cl -5.5446 -6.4017 -0.5924
Cl -1.1359 -4.7493 -0.4482
O -3.8876 -3.9822 3.4107
O -8.6092 -0.6564 4.4950
O -3.0180 -3.3459 4.2231
O 1.7036 -6.6717 3.1388
```

Properties
Volume, Å³/f.u.: 351.51
VASP energy, eV per atom: -3.66

(12)
VASP calculation (GGA-PBE) on a relaxed Cs3ClO crystal.

```
20
Lattice="4.5180 0.0000 0.0000 0.0000 9.6965 0.0000 0.0000 0.0000 16.6660" Properties=species:S:1:pos:R:3 pbc="T T T"
Cs 3.3885 2.0559 13.1934
Cs 1.1295 5.0996 15.0281
Cs 1.1295 0.2514 9.9708
Cs 1.1295 2.7924 4.8604
Cs 3.3885 3.1758 8.3508
Cs 1.1295 7.6406 3.4725
Cs 1.1295 6.5207 8.3151
Cs 3.3885 9.4451 6.6951
Cs 1.1295 1.6724 0.0178
Cs 3.3885 8.0240 16.6481
Cs 3.3885 6.9041 11.8055
Cs 3.3885 4.5969 1.6378
O 1.1295 6.4643 1.0287
O 3.3885 3.2322 15.6373
O 3.3885 8.0804 9.3616
O 1.1295 1.6161 7.3043
Cl 3.3885 0.7511 2.8742
Cl 1.1295 8.9454 13.7918
Cl 1.1295 4.0972 11.2072
Cl 3.3885 5.5993 5.4588
```

Properties
Volume, Å³/f.u.: 182.53
VASP energy, eV per atom: -3.25

(13)
VASP calculation (GGA-PBE) on a relaxed CsCl2O2 crystal.

```
5
Lattice="-2.6831 3.6224 0.3439 -3.5840 -2.7048 0.5270 -2.3444 0.5092 6.0607" Properties=species:S:1:pos:R:3 pbc="T T T"
Cs 0.0000 0.0000 0.0000
O -4.0806 2.2952 3.4201
O -4.5310 -0.8684 3.5116
Cl -2.7819 0.4813 2.9421
Cl -5.8297 0.9456 3.9896
```

Properties
Volume, Å³/f.u.: 116.11
VASP energy, eV per atom: -2.82

(14)
VASP calculation (GGA-PBE) on a relaxed Cs4ClO crystal.

```
12
Lattice="7.9934 -0.1059 -1.9812 -3.7000 7.4266 -2.7013 -0.0269 0.4271 10.6751" Properties=species:S:1:pos:R:3 pbc="T T T"
Cs -0.2463 1.8709 0.2332
Cs -1.8275 7.2022 0.6317
Cs 0.9671 6.3206 -2.2578
Cs 3.5659 2.9515 1.3446
Cs 0.7006 4.7963 4.6480
Cs 3.2994 1.4272 8.2504
Cs 6.0939 0.5456 5.3609
Cs 4.5127 5.8769 5.7594
Cl 3.3515 2.5828 4.8246
Cl 0.9150 5.1650 1.1679
O 1.9867 7.2317 5.3816
O 2.2797 0.5161 0.6109
```

Properties
Volume, Å³/f.u.: 320.74
VASP energy, eV per atom: -2.83